Density functional theory data (GGA-PBE) for a relaxed Li4Ho3Ga4 crystal.

a = 4.510 Å, b = 6.715 Å, c = 8.269 Å
α = 113.95°, β = 105.83°, γ = 90.00°
Atoms (fractional coordinates):
Li 0.327 0.137 0.655
Li 0.673 0.863 0.345
Li 0.673 0.482 0.345
Li 0.327 0.518 0.655
Ga 0.500 0.193 0.000
Ga 0.500 0.807 0.000
Ga 0.214 0.714 0.429
Ga 0.786 0.286 0.571
Ho 0.879 0.879 0.757
Ho 0.000 0.500 0.000
Ho 0.121 0.121 0.243

## Properties
Offset from the most stable computed form   16 meV/atom
Total energy   -3.404 eV per atom
Calculated formation energy   -0.359 eV/atom
Space-group type   Immm, No. 71